PuCu2RhO8 | GGA-PBE | optimized geometry

Summary:
* volume: 11.99 Å³/atom
* crystal system: tetragonal
* space group: I-4m2, No. 119
* raw total energy: -6.667 eV/atom
* formation energy without anion corrections: -0.87 eV per atom

a b c (Å): 5.729 5.729 5.729
angles (deg): 112.18 112.18 104.18
Atoms (fractional coordinates):
O 0.297 0.100 0.802
Cu 0.750 0.250 0.500
O 0.347 0.043 0.304
O 0.297 0.495 0.198
Cu 0.500 0.500 0.000
O 0.957 0.261 0.304
O 0.957 0.653 0.696
O 0.505 0.703 0.802
O 0.900 0.703 0.198
Rh 0.000 0.000 0.000
Pu 0.250 0.750 0.500
O 0.739 0.043 0.696